# 1
Material: CaPbW2
Method: DFT, PBE
State: relaxed

Summary:
**Raw total energy**: -27.39 eV per cell
**Energy relative to the elements**: 1.057 eV per atom

Geometry as CIF:
```
data_CaPbW2
_cell_length_a 3.701
_cell_length_b 3.701
_cell_length_c 6.648
_cell_angle_alpha 90.00
_cell_angle_beta 90.00
_cell_angle_gamma 90.00
_space_group_name_H-M_alt 'P 1'
_space_group_IT_number 1
loop_
_space_group_symop_operation_xyz
'x,y,z'
loop_
_atom_site_label
_atom_site_type_symbol
_atom_site_fract_x
_atom_site_fract_y
_atom_site_fract_z
Ca1 Ca 0.000 0.000 0.000
Pb1 Pb 0.000 0.000 0.500
W1 W 0.500 0.500 0.316
W2 W 0.500 0.500 0.684
```

=====

# 2
Material: Cs4Pm3ZrSe8
Method: DFT, PBE
State: relaxed

Summary:
**Raw total energy**: -79.66 eV per cell
**Uncorrected formation energy**: -1598 meV per atom

Geometry as CIF:
```
data_Cs4Pm3ZrSe8
_cell_length_a 9.746
_cell_length_b 9.746
_cell_length_c 9.746
_cell_angle_alpha 52.02
_cell_angle_beta 52.02
_cell_angle_gamma 52.02
_space_group_name_H-M_alt 'P 1'
_space_group_IT_number 1
loop_
_space_group_symop_operation_xyz
'x,y,z'
loop_
_atom_site_label
_atom_site_type_symbol
_atom_site_fract_x
_atom_site_fract_y
_atom_site_fract_z
Cs1 Cs 0.000 0.000 0.000
Cs2 Cs 0.000 0.500 0.500
Cs3 Cs 0.500 0.000 0.500
Cs4 Cs 0.500 0.500 0.000
Pm1 Pm 0.000 0.000 0.500
Pm2 Pm 0.000 0.500 0.000
Pm3 Pm 0.500 0.000 0.000
Zr1 Zr 0.500 0.500 0.500
Se1 Se 0.231 0.231 0.231
Se2 Se 0.247 0.720 0.720
Se3 Se 0.280 0.280 0.753
Se4 Se 0.280 0.753 0.280
Se5 Se 0.720 0.247 0.720
Se6 Se 0.720 0.720 0.247
Se7 Se 0.753 0.280 0.280
Se8 Se 0.769 0.769 0.769
```

=====

# 3
Material: HfUS2O
Method: DFT, PBE
State: relaxed

Summary:
**Raw total energy**: -88.65 eV per cell
**Uncorrected formation energy**: -1974 meV per atom

Geometry as CIF:
```
data_HfUS2O
_cell_length_a 3.667
_cell_length_b 3.667
_cell_length_c 12.952
_cell_angle_alpha 90.00
_cell_angle_beta 90.00
_cell_angle_gamma 90.00
_space_group_name_H-M_alt 'P 1'
_space_group_IT_number 1
loop_
_space_group_symop_operation_xyz
'x,y,z'
loop_
_atom_site_label
_atom_site_type_symbol
_atom_site_fract_x
_atom_site_fract_y
_atom_site_fract_z
Hf1 Hf 0.250 0.250 0.087
Hf2 Hf 0.750 0.750 0.913
U1 U 0.250 0.250 0.608
U2 U 0.750 0.750 0.392
S1 S 0.250 0.250 0.292
S2 S 0.250 0.250 0.886
S3 S 0.750 0.750 0.114
S4 S 0.750 0.750 0.708
O1 O 0.250 0.750 0.500
O2 O 0.750 0.250 0.500
```

=====

# 4
Material: PaCu2Pd8
Method: DFT, PBE
State: relaxed

Summary:
**Energy above the lowest structure with this stoichiometry**: 0 meV per atom
**Raw total energy**: -63.78 eV per cell
**Energy relative to the elements**: -0.414 eV per atom

Geometry as CIF:
```
data_PaCu2Pd8
_cell_length_a 7.281
_cell_length_b 7.281
_cell_length_c 6.286
_cell_angle_alpha 106.36
_cell_angle_beta 106.36
_cell_angle_gamma 33.10
_space_group_name_H-M_alt 'P 1'
_space_group_IT_number 1
loop_
_space_group_symop_operation_xyz
'x,y,z'
loop_
_atom_site_label
_atom_site_type_symbol
_atom_site_fract_x
_atom_site_fract_y
_atom_site_fract_z
Pa1 Pa 0.000 0.000 0.000
Cu1 Cu 0.274 0.274 0.359
Cu2 Cu 0.726 0.726 0.641
Pd1 Pd 0.098 0.098 0.461
Pd2 Pd 0.182 0.182 0.924
Pd3 Pd 0.356 0.356 0.796
Pd4 Pd 0.453 0.453 0.272
Pd5 Pd 0.547 0.547 0.728
Pd6 Pd 0.644 0.644 0.204
Pd7 Pd 0.818 0.818 0.076
Pd8 Pd 0.902 0.902 0.539
```

=====

# 5
Material: Rb3GeP
Method: DFT, PBE
State: relaxed

Summary:
**Energy above the lowest structure with this stoichiometry**: 0 meV per atom
**Raw total energy**: -27.31 eV per cell
**Energy relative to the elements**: -0.145 eV per atom

Geometry as CIF:
```
data_Rb3GeP
_cell_length_a 8.073
_cell_length_b 8.073
_cell_length_c 8.360
_cell_angle_alpha 101.31
_cell_angle_beta 101.31
_cell_angle_gamma 86.11
_space_group_name_H-M_alt 'P 1'
_space_group_IT_number 1
loop_
_space_group_symop_operation_xyz
'x,y,z'
loop_
_atom_site_label
_atom_site_type_symbol
_atom_site_fract_x
_atom_site_fract_y
_atom_site_fract_z
Rb1 Rb 0.106 0.706 0.682
Rb2 Rb 0.294 0.894 0.318
Rb3 Rb 0.308 0.308 0.979
Rb4 Rb 0.692 0.692 0.021
Rb5 Rb 0.706 0.106 0.682
Rb6 Rb 0.894 0.294 0.318
Ge1 Ge 0.358 0.358 0.402
Ge2 Ge 0.642 0.642 0.598
P1 P 0.465 0.465 0.685
P2 P 0.535 0.535 0.315
```

=====

# 6
Material: Cs3KTl2H6
Method: DFT, PBE
State: relaxed

Summary:
**Raw total energy**: -30.11 eV per cell

Geometry as CIF:
```
data_Cs3KTl2H6
_cell_length_a 6.570
_cell_length_b 6.570
_cell_length_c 8.206
_cell_angle_alpha 90.00
_cell_angle_beta 90.00
_cell_angle_gamma 120.00
_space_group_name_H-M_alt 'P 1'
_space_group_IT_number 1
loop_
_space_group_symop_operation_xyz
'x,y,z'
loop_
_atom_site_label
_atom_site_type_symbol
_atom_site_fract_x
_atom_site_fract_y
_atom_site_fract_z
Cs1 Cs 0.000 0.000 0.000
Cs2 Cs 0.333 0.667 0.664
Cs3 Cs 0.667 0.333 0.336
K1 K 0.000 0.000 0.500
Tl1 Tl 0.333 0.667 0.157
Tl2 Tl 0.667 0.333 0.843
H1 H 0.188 0.377 0.306
H2 H 0.188 0.812 0.306
H3 H 0.377 0.188 0.694
H4 H 0.623 0.812 0.306
H5 H 0.812 0.188 0.694
H6 H 0.812 0.623 0.694
```

=====

# 7
Material: Nd2TlCd2
Method: DFT, PBE
State: relaxed

Summary:
**Energy above the lowest structure with this stoichiometry**: 0 meV per atom
**Raw total energy**: -30.33 eV per cell
**Energy relative to the elements**: -0.286 eV per atom

Geometry as CIF:
```
data_Nd2TlCd2
_cell_length_a 6.274
_cell_length_b 6.274
_cell_length_c 10.127
_cell_angle_alpha 107.69
_cell_angle_beta 107.69
_cell_angle_gamma 47.90
_space_group_name_H-M_alt 'P 1'
_space_group_IT_number 1
loop_
_space_group_symop_operation_xyz
'x,y,z'
loop_
_atom_site_label
_atom_site_type_symbol
_atom_site_fract_x
_atom_site_fract_y
_atom_site_fract_z
Nd1 Nd 0.052 0.052 0.349
Nd2 Nd 0.172 0.172 0.066
Nd3 Nd 0.828 0.828 0.934
Nd4 Nd 0.948 0.948 0.651
Tl1 Tl 0.255 0.255 0.702
Tl2 Tl 0.745 0.745 0.298
Cd1 Cd 0.371 0.371 0.417
Cd2 Cd 0.476 0.476 0.134
Cd3 Cd 0.524 0.524 0.866
Cd4 Cd 0.629 0.629 0.583
```

=====

# 8
Material: LaHo8Er6
Method: DFT, PBE
State: relaxed

Summary:
**Energy above the lowest structure with this stoichiometry**: 0 meV per atom
**Raw total energy**: -66.81 eV per cell
**Energy relative to the elements**: 0.141 eV per atom

Geometry as CIF:
```
data_LaHo8Er6
_cell_length_a 8.582
_cell_length_b 8.582
_cell_length_c 8.582
_cell_angle_alpha 62.97
_cell_angle_beta 62.97
_cell_angle_gamma 62.97
_space_group_name_H-M_alt 'P 1'
_space_group_IT_number 1
loop_
_space_group_symop_operation_xyz
'x,y,z'
loop_
_atom_site_label
_atom_site_type_symbol
_atom_site_fract_x
_atom_site_fract_y
_atom_site_fract_z
La1 La 0.000 0.000 0.000
Ho1 Ho 0.111 0.719 0.744
Ho2 Ho 0.256 0.889 0.281
Ho3 Ho 0.281 0.256 0.889
Ho4 Ho 0.423 0.423 0.423
Ho5 Ho 0.577 0.577 0.577
Ho6 Ho 0.719 0.744 0.111
Ho7 Ho 0.744 0.111 0.719
Ho8 Ho 0.889 0.281 0.256
Er1 Er 0.106 0.536 0.235
Er2 Er 0.235 0.106 0.536
Er3 Er 0.464 0.765 0.894
Er4 Er 0.536 0.235 0.106
Er5 Er 0.765 0.894 0.464
Er6 Er 0.894 0.464 0.765
```

=====

# 9
Material: Pm2Sm3DyTe6
Method: DFT, PBE
State: relaxed

Summary:
**Raw total energy**: -63.61 eV per cell
**Uncorrected formation energy**: -1375 meV per atom

Geometry as CIF:
```
data_Pm2Sm3DyTe6
_cell_length_a 9.910
_cell_length_b 9.910
_cell_length_c 8.919
_cell_angle_alpha 102.70
_cell_angle_beta 102.70
_cell_angle_gamma 25.74
_space_group_name_H-M_alt 'P 1'
_space_group_IT_number 1
loop_
_space_group_symop_operation_xyz
'x,y,z'
loop_
_atom_site_label
_atom_site_type_symbol
_atom_site_fract_x
_atom_site_fract_y
_atom_site_fract_z
Pm1 Pm 0.169 0.169 0.336
Pm2 Pm 0.831 0.831 0.664
Sm1 Sm 0.171 0.171 0.833
Sm2 Sm 0.500 0.500 0.500
Sm3 Sm 0.829 0.829 0.167
Dy1 Dy 0.500 0.500 0.000
Te1 Te 0.001 0.001 0.756
Te2 Te 0.335 0.335 0.416
Te3 Te 0.337 0.337 0.920
Te4 Te 0.663 0.663 0.080
Te5 Te 0.665 0.665 0.584
Te6 Te 0.999 0.999 0.244
```

=====

# 10
Material: NaZnIn2
Method: DFT, PBE
State: relaxed

Summary:
**Raw total energy**: -33.59 eV per cell
**Energy relative to the elements**: -0.082 eV per atom

Geometry as CIF:
```
data_NaZnIn2
_cell_length_a 7.401
_cell_length_b 4.596
_cell_length_c 11.254
_cell_angle_alpha 90.00
_cell_angle_beta 90.00
_cell_angle_gamma 90.00
_space_group_name_H-M_alt 'P 1'
_space_group_IT_number 1
loop_
_space_group_symop_operation_xyz
'x,y,z'
loop_
_atom_site_label
_atom_site_type_symbol
_atom_site_fract_x
_atom_site_fract_y
_atom_site_fract_z
Na1 Na 0.226 0.250 0.185
Na2 Na 0.274 0.750 0.685
Na3 Na 0.726 0.250 0.315
Na4 Na 0.774 0.750 0.815
Zn1 Zn 0.071 0.250 0.838
Zn2 Zn 0.429 0.750 0.338
Zn3 Zn 0.571 0.250 0.662
Zn4 Zn 0.929 0.750 0.162
In1 In 0.045 0.750 0.397
In2 In 0.174 0.750 0.969
In3 In 0.326 0.250 0.469
In4 In 0.455 0.250 0.897
In5 In 0.545 0.750 0.103
In6 In 0.674 0.750 0.531
In7 In 0.826 0.250 0.031
In8 In 0.955 0.250 0.603
```

=====

# 11
Material: Re3SiTe
Method: DFT, PBE
State: relaxed

Summary:
**Energy above the lowest structure with this stoichiometry**: 1360 meV per atom
**Raw total energy**: -32.19 eV per cell
**Uncorrected formation energy**: 2745 meV per atom

Geometry as CIF:
```
data_Re3SiTe
_cell_length_a 4.844
_cell_length_b 4.844
_cell_length_c 4.844
_cell_angle_alpha 90.00
_cell_angle_beta 90.00
_cell_angle_gamma 90.00
_space_group_name_H-M_alt 'P 1'
_space_group_IT_number 1
loop_
_space_group_symop_operation_xyz
'x,y,z'
loop_
_atom_site_label
_atom_site_type_symbol
_atom_site_fract_x
_atom_site_fract_y
_atom_site_fract_z
Re1 Re 0.000 0.000 0.500
Re2 Re 0.000 0.500 0.000
Re3 Re 0.500 0.000 0.000
Si1 Si 0.500 0.500 0.500
Te1 Te 0.000 0.000 0.000
```

=====

# 12
Material: Cr2IrW
Method: DFT, PBE
State: relaxed

Summary:
**Raw total energy**: -40.91 eV per cell
**Energy relative to the elements**: 0.038 eV per atom

Geometry as CIF:
```
data_Cr2IrW
_cell_length_a 2.681
_cell_length_b 4.022
_cell_length_c 5.213
_cell_angle_alpha 90.00
_cell_angle_beta 102.97
_cell_angle_gamma 90.00
_space_group_name_H-M_alt 'P 1'
_space_group_IT_number 1
loop_
_space_group_symop_operation_xyz
'x,y,z'
loop_
_atom_site_label
_atom_site_type_symbol
_atom_site_fract_x
_atom_site_fract_y
_atom_site_fract_z
Cr1 Cr 0.000 0.000 0.000
Cr2 Cr 0.316 0.500 0.195
Ir1 Ir 0.828 0.000 0.462
W1 W 0.441 0.500 0.725
```